Sc6BTe2: optimized geometry, PBE-GGA.

As for the magnetization: 0.00 μB/cell. The uncorrected formation energy is -3.53 eV per formula unit. As for the space group: P4_2/mnm.

```
Sc6BTe2
1.0
6.216 0.000 0.000
0.000 6.216 0.000
0.000 0.000 12.126
Sc B Te
12 2 4
direct
0.185 0.815 0.136
0.315 0.315 0.636
0.315 0.315 0.364
0.685 0.685 0.636
0.185 0.815 0.864
0.815 0.185 0.136
0.685 0.685 0.364
0.733 0.733 0.000
0.767 0.233 0.500
0.233 0.767 0.500
0.815 0.185 0.864
0.267 0.267 0.000
0.500 0.500 0.500
0.000 0.000 0.000
0.500 0.500 0.170
0.000 0.000 0.330
0.500 0.500 0.830
0.000 0.000 0.670
```